{
  "formula": "SrCd2Ru",
  "functional": "PBE-GGA",
  "state": "optimized geometry",
  "lattice_angstrom": [[4.2872, 1.1166, -0.5118], [-1.1818, 4.2697, -0.5118], [0.3692, 0.6404, 4.4408]],
  "species": ["Cd", "Cd", "Ru", "Sr"],
  "frac_coords": [[0.0000, 0.0000, 0.0000], [0.5000, 0.5000, 0.0000], [0.5000, 0.0000, 0.5000], [0.0000, 0.5000, 0.5000]],
  "space_group": "C2/m",
  "final_energy_ry_per_atom": -0.213,
  "ef_ev_per_atom": 0.2940
}